(1)
Entry from Alexandria via LeMat-Bulk: a relaxed structure of BaCdHg3 (PBE-GGA).

## Properties
D(E_F) (states/eV/f.u.): 6.16
ΔE to the lowest computed polymorph (meV/atom): 591.3
Calculated formation energy (eV/atom): 0.25

Cell: 6.6951 6.6951 6.6951 Å, 90.00 90.00 90.00°
Space group Pm-3m (No. 221)
One atom of each set of equivalent atoms:
Ba 0.0000 0.0000 0.0000 (multiplicity 1)
Cd 0.5000 0.5000 0.5000 (multiplicity 1)
Hg 0.0000 0.0000 0.5000 (multiplicity 3)



(2)
Entry from Alexandria via LeMat-Bulk: a relaxed structure of Ba6CdHg (PBE-GGA).

## Properties
D(E_F) (states/eV/f.u.): 10.67
Calculated formation energy (eV/atom): -0.21

Cell: 6.0876 6.0876 22.0344 Å, 90.00 90.00 90.00°
Space group I4/mmm (No. 139)
One atom of each set of equivalent atoms:
Ba 0.0000 0.0000 0.2492 (multiplicity 4)
Ba 0.0000 0.5000 0.0905 (multiplicity 8)
Cd 0.0000 0.0000 0.0000 (multiplicity 2)
Hg 0.0000 0.0000 0.5000 (multiplicity 2)



(3)
Entry from Alexandria via LeMat-Bulk: a relaxed structure of Ba2CdHg (PBE-GGA).

## Properties
D(E_F) (states/eV/f.u.): 4.26
ΔE to the lowest computed polymorph (meV/atom): 158.9
Calculated formation energy (eV/atom): -0.26

Cell: 4.9730 4.9730 25.5997 Å, 90.00 90.00 120.00°
Space group R-3m (No. 166, hexagonal axes)
One atom of each set of equivalent atoms:
Ba 0.0000 0.0000 0.2477 (multiplicity 6)
Cd 0.0000 0.0000 0.0000 (multiplicity 3)
Hg 0.0000 0.0000 0.5000 (multiplicity 3)



(4)
Entry from Alexandria via LeMat-Bulk: a relaxed structure of BaCd4Hg4 (PBE-GGA).

## Properties
D(E_F) (states/eV/f.u.): 3.34
ΔE to the lowest computed polymorph (meV/atom): 0.0
Calculated formation energy (eV/atom): -0.18

Cell: 6.9328 6.9328 10.2454 Å, 90.00 90.00 90.00°
Space group P4_2/nmc (No. 137, origin choice 2)
One atom of each set of equivalent atoms:
Ba 0.2500 0.7500 0.2500 (multiplicity 2)
Cd 0.0332 0.2500 0.1680 (multiplicity 8)
Hg 0.0215 0.2500 0.4567 (multiplicity 8)



(5)
Entry from Alexandria via LeMat-Bulk: a relaxed structure of Ba2Cd9Hg3 (PBE-GGA).

## Properties
D(E_F) (states/eV/f.u.): 7.61
Calculated formation energy (eV/atom): -0.21

Cell: 15.6107 9.2999 10.2747 Å, 90.00 90.00 90.00°
Space group Cmcm (No. 63)
One atom of each set of equivalent atoms:
Ba 0.1568 0.1542 0.2500 (multiplicity 8)
Cd 0.0000 0.1607 0.7500 (multiplicity 4)
Cd 0.0000 0.3405 0.0394 (multiplicity 8)
Cd 0.0960 0.4655 0.7500 (multiplicity 8)
Cd 0.1610 0.1934 0.5941 (multiplicity 16)
Hg 0.0000 0.0000 0.0000 (multiplicity 4)
Hg 0.1963 0.5000 0.0000 (multiplicity 8)



(6)
Entry from Alexandria via LeMat-Bulk: a relaxed structure of BaCd6Hg12 (PBE-GGA).

## Properties
D(E_F) (states/eV/f.u.): 5.75
ΔE to the lowest computed polymorph (meV/atom): 0.0
Calculated formation energy (eV/atom): -0.09

Cell: 8.0583 8.1735 9.2677 Å, 114.34 98.74 108.18°
Space group P-1 (No. 2)
One atom of each set of equivalent atoms:
Ba 0.0000 0.0000 0.0000 (multiplicity 1)
Cd 0.0830 0.5029 0.7438 (multiplicity 2)
Cd 0.3082 0.2552 0.7901 (multiplicity 2)
Cd 0.4543 0.7790 0.4504 (multiplicity 2)
Hg 0.1266 0.9412 0.3675 (multiplicity 2)
Hg 0.1796 0.8142 0.6475 (multiplicity 2)
Hg 0.1981 0.4976 0.0816 (multiplicity 2)
Hg 0.2553 0.3862 0.4413 (multiplicity 2)
Hg 0.3941 0.9176 0.1314 (multiplicity 2)
Hg 0.4839 0.3282 0.1664 (multiplicity 2)



(7)
Entry from Alexandria via LeMat-Bulk: a relaxed structure of BaCdHg (PBE-GGA).

## Properties
D(E_F) (states/eV/f.u.): 2.24
Calculated formation energy (eV/atom): -0.42

Cell: 5.1735 5.1735 4.3692 Å, 90.00 90.00 120.00°
Space group P-6m2 (No. 187)
One atom of each set of equivalent atoms:
Ba 0.0000 0.0000 0.0000 (multiplicity 1)
Cd 0.6667 0.3333 0.5000 (multiplicity 1)
Hg 0.3333 0.6667 0.5000 (multiplicity 1)



(8)
Entry from Alexandria via LeMat-Bulk: a relaxed structure of Ba3CdHg10 (PBE-GGA).

## Properties
D(E_F) (states/eV/f.u.): 8.94
Calculated formation energy (eV/atom): -0.38

Cell: 5.3977 10.0774 15.3140 Å, 90.00 90.00 90.00°
Space group Immm (No. 71)
One atom of each set of equivalent atoms:
Ba 0.0000 0.0000 0.0000 (multiplicity 2)
Ba 0.0000 0.0000 0.2925 (multiplicity 4)
Cd 0.0000 0.5000 0.0000 (multiplicity 2)
Hg 0.0000 0.1723 0.5000 (multiplicity 4)
Hg 0.0000 0.2923 0.1401 (multiplicity 8)
Hg 0.0000 0.3545 0.3406 (multiplicity 8)



(9)
Entry from Alexandria via LeMat-Bulk: a relaxed structure of Ba3Cd4Hg4 (PBE-GGA).

## Properties
D(E_F) (states/eV/f.u.): 6.26
Calculated formation energy (eV/atom): -0.39

Cell: 4.5420 4.9967 15.8453 Å, 98.87 98.19 90.13°
Space group P-1 (No. 2)
One atom of each set of equivalent atoms:
Ba 0.0000 0.0000 0.0000 (multiplicity 1)
Ba 0.1489 0.6501 0.2976 (multiplicity 2)
Cd 0.2525 0.2525 0.5050 (multiplicity 2)
Cd 0.4018 0.9024 0.8064 (multiplicity 2)
Hg 0.3090 0.8070 0.6168 (multiplicity 2)
Hg 0.4490 0.4492 0.9013 (multiplicity 2)



(10)
Entry from Alexandria via LeMat-Bulk: a relaxed structure of BaCd4Hg4 (PBE-GGA).

## Properties
D(E_F) (states/eV/f.u.): 4.37
ΔE to the lowest computed polymorph (meV/atom): 34.6
Calculated formation energy (eV/atom): -0.14

Cell: 10.4986 10.4986 4.5057 Å, 90.00 90.00 90.00°
Space group I4/mmm (No. 139)
One atom of each set of equivalent atoms:
Ba 0.0000 0.0000 0.0000 (multiplicity 2)
Cd 0.0000 0.3464 0.0000 (multiplicity 8)
Hg 0.1779 0.1779 0.5000 (multiplicity 8)



(11)
Entry from Alexandria via LeMat-Bulk: a relaxed structure of BaCd3Hg2 (PBE-GGA).

## Properties
D(E_F) (states/eV/f.u.): 2.98
ΔE to the lowest computed polymorph (meV/atom): 6.7
Calculated formation energy (eV/atom): -0.26

Cell: 10.8818 10.8818 4.9370 Å, 90.00 90.00 120.00°
Space group P6/mmm (No. 191)
One atom of each set of equivalent atoms:
Ba 0.0000 0.0000 0.0000 (multiplicity 1)
Ba 0.3333 0.6667 0.5000 (multiplicity 2)
Cd 0.0000 0.2861 0.5000 (multiplicity 6)
Cd 0.0000 0.5000 0.0000 (multiplicity 3)
Hg 0.1953 0.3905 0.0000 (multiplicity 6)